(1)
Compound: NbAl3V
Source: Alexandria
Functional: PBE
Structure: relaxed

abc: 4.6077 4.6077 4.6077
angles: 90.00 90.00 90.00
Closest atoms and distances in Å follow each position.
Fractional coordinates of all 5 atoms:
Nb1 0.0000 0.0000 0.0000  12 Al 3.26
Al1 0.0000 0.5000 0.5000  2 V 2.30
Al2 0.5000 0.0000 0.5000  2 V 2.30
Al3 0.5000 0.5000 0.0000  2 V 2.30
V1 0.5000 0.5000 0.5000  6 Al 2.30

Computed properties:
Its space group is No. 221. The crystal system is cubic.



(2)
Compound: La8Tl2Ru
Source: Alexandria
Functional: PBE
Structure: relaxed

abc: 9.6881 9.6881 7.0666
angles: 109.75 109.75 34.26
Closest atoms and distances in Å follow each position.
Fractional coordinates of all 11 atoms:
La1 0.0037 0.0037 0.2827  3 La 3.12-3.36, 2 Ru 3.25
La2 0.2087 0.2087 0.7457  4 La 3.33-3.66, 3 Tl 3.38-3.48
La3 0.3559 0.3559 0.5791  1 Ru 2.91
La4 0.4084 0.4084 0.0989  1 Ru 2.74
La5 0.5916 0.5916 0.9011  1 Ru 2.74
La6 0.6441 0.6441 0.4209  1 Ru 2.91
La7 0.7913 0.7913 0.2543  4 La 3.33-3.66, 3 Tl 3.38-3.48
La8 0.9963 0.9963 0.7173  3 La 3.12-3.36, 2 Ru 3.25
Tl1 0.1769 0.1769 0.1884  10 La 3.38-3.77
Tl2 0.8231 0.8231 0.8116  10 La 3.38-3.77
Ru1 0.5000 0.5000 0.5000  4 La 2.74-2.91

Computed properties:
Its space group is No. 12. The crystal system is monoclinic.



(3)
Compound: KPb4
Source: Alexandria
Functional: PBE
Structure: relaxed

abc: 6.5578 6.5578 6.5578
angles: 96.75 96.75 139.89
Closest atoms and distances in Å follow each position.
Fractional coordinates of all 5 atoms:
K1 0.0000 0.0000 0.0000  12 Pb 3.70-3.85
Pb1 0.1754 0.5940 0.7693  5 Pb 3.33-3.47, 2 K 3.70
Pb2 0.4060 0.1754 0.5814  5 Pb 3.33-3.47, 2 K 3.70
Pb3 0.5940 0.8246 0.4186  5 Pb 3.33-3.47, 2 K 3.70
Pb4 0.8246 0.4060 0.2307  5 Pb 3.33-3.47, 2 K 3.70

Computed properties:
Its space group is No. 87. The crystal system is tetragonal.



Number 1: volume 97.8 Å³ per cell, ΔE_f 841 meV/atom. Number 2: volume 349.2 Å³ per cell, ΔE_f -237 meV/atom. Number 3: volume 170.7 Å³ per cell, ΔE_f -73 meV/atom.